A relaxed AlFe5Si2W2 crystal, computed with PBE.

Lattice parameters (Å, degrees): 9.1293 9.1293 2.9120 90.00 90.00 90.00
With the nearest neighbours (Å) after each atom.
Positions (direct):
Al 0.0000 0.0000 0.0000  8 Fe 2.42
Al 0.5000 0.5000 0.0000  8 Fe 2.42
Fe 0.0000 0.5000 0.5000  4 Si 2.19
Fe 0.0553 0.2041 0.5000  2 Si 2.22, 2 Al 2.42
Fe 0.2041 0.9447 0.5000  2 Si 2.22, 2 Al 2.42
Fe 0.2959 0.4447 0.5000  2 Si 2.22, 2 Al 2.42
Fe 0.4447 0.7041 0.5000  2 Si 2.22, 2 Al 2.42
Fe 0.5000 0.0000 0.5000  4 Si 2.19
Fe 0.5553 0.2959 0.5000  2 Si 2.22, 2 Al 2.42
Fe 0.7041 0.5553 0.5000  2 Si 2.22, 2 Al 2.42
Fe 0.7959 0.0553 0.5000  2 Si 2.22, 2 Al 2.42
Fe 0.9447 0.7959 0.5000  2 Si 2.22, 2 Al 2.42
Si 0.1271 0.3729 0.0000  6 Fe 2.19-2.22
Si 0.3729 0.8729 0.0000  6 Fe 2.19-2.22
Si 0.6271 0.1271 0.0000  6 Fe 2.19-2.22
Si 0.8729 0.6271 0.0000  6 Fe 2.19-2.22
W 0.1766 0.6766 0.0000  3 Si 2.53-2.81, 6 Fe 2.71-2.79
W 0.3234 0.1766 0.0000  3 Si 2.53-2.81, 6 Fe 2.71-2.79
W 0.6766 0.8234 0.0000  3 Si 2.53-2.81, 6 Fe 2.71-2.79
W 0.8234 0.3234 0.0000  3 Si 2.53-2.81, 6 Fe 2.71-2.79

- Total energy: -168.389 eV for the cell shown
- M_tot: 1.56 μB/cell
- Theoretical density: 9.99 g/cm3
- SG: P4/mbm, No. 127

A relaxed SmAl8Fe4 crystal, computed with PBE.

Lattice parameters (Å, degrees): 6.6752 6.6752 6.6752 98.17 98.17 135.71
With the nearest neighbours (Å) after each atom.
Positions (direct):
Sm 0.0000 0.0000 0.0000  12 Al 2.99-3.18, 8 Fe 3.34
Al 0.0000 0.3417 0.3417  4 Fe 2.65, 5 Al 2.72-2.79
Al 0.0000 0.6583 0.6583  4 Fe 2.65, 5 Al 2.72-2.79
Al 0.2774 0.5000 0.7774  4 Fe 2.53, 6 Al 2.72-2.79
Al 0.3417 0.0000 0.3417  4 Fe 2.65, 5 Al 2.72-2.79
Al 0.5000 0.2774 0.7774  4 Fe 2.53, 6 Al 2.72-2.79
Al 0.5000 0.7226 0.2226  4 Fe 2.53, 6 Al 2.72-2.79
Al 0.6583 0.0000 0.6583  4 Fe 2.65, 5 Al 2.72-2.79
Al 0.7226 0.5000 0.2226  4 Fe 2.53, 6 Al 2.72-2.79
Fe 0.0000 0.0000 0.5000  2 Fe 2.52, 8 Al 2.53-2.65
Fe 0.0000 0.5000 0.0000  2 Fe 2.52, 8 Al 2.53-2.65
Fe 0.5000 0.0000 0.0000  2 Fe 2.52, 8 Al 2.53-2.65
Fe 0.5000 0.5000 0.5000  2 Fe 2.52, 8 Al 2.53-2.65

- ΔE_f: -9.6 kcal/mol of atoms
- Total energy: -73.922 eV for the cell shown
- M_tot: 5.64 μB/cell
- Theoretical density: 5.09 g/cm3
- SG: I4/mmm, No. 139

A relaxed SmAl3Fe crystal, computed with PBE.

Lattice parameters (Å, degrees): 6.2927 6.2927 10.6758 90.00 90.00 120.00
With the nearest neighbours (Å) after each atom.
Positions (direct):
Sm 0.0000 0.0000 0.0000  12 Al 3.12-3.15
Sm 0.0000 0.0000 0.5000  12 Al 3.12-3.15
Sm 0.3333 0.6667 0.2500  12 Al 3.15-3.23
Sm 0.6667 0.3333 0.7500  12 Al 3.15-3.23
Al 0.0000 0.5000 0.0000  2 Fe 2.26
Al 0.0000 0.5000 0.5000  2 Fe 2.26
Al 0.1491 0.2982 0.7500  2 Fe 2.40
Al 0.1491 0.8509 0.7500  2 Fe 2.40
Al 0.2982 0.1491 0.2500  2 Fe 2.40
Al 0.5000 0.0000 0.0000  2 Fe 2.26
Al 0.5000 0.0000 0.5000  2 Fe 2.26
Al 0.5000 0.5000 0.0000  2 Fe 2.26
Al 0.5000 0.5000 0.5000  2 Fe 2.26
Al 0.7018 0.8509 0.7500  2 Fe 2.40
Al 0.8509 0.1491 0.2500  2 Fe 2.40
Al 0.8509 0.7018 0.2500  2 Fe 2.40
Fe 0.3333 0.6667 0.6264  6 Al 2.26-2.40
Fe 0.3333 0.6667 0.8736  6 Al 2.26-2.40
Fe 0.6667 0.3333 0.1264  6 Al 2.26-2.40
Fe 0.6667 0.3333 0.3736  6 Al 2.26-2.40

- ΔE_f: -8.3 kcal/mol of atoms
- Total energy: -104.830 eV for the cell shown
- M_tot: 0.00 μB/cell
- Theoretical density: 5.21 g/cm3
- Distance to the lowest polymorph of the same formula: 0 meV/atom
- SG: P6_3/mmc, No. 194

Q: Among the records above, which one has the highest theoretical density?
A: AlFe5Si2W2